# Gd3Mg2InCuPt2

A relaxed Gd3Mg2InCuPt2 crystal (PBE-GGA, the Open Quantum Materials Database).

Cell lengths 3.9897, 7.5432, 7.5432 Å; angles 119.97, 90.00, 90.00 degrees
Sites, in units of the cell vectors:
Gd 0.0000 0.0000 0.0000
Gd 0.0000 0.1625 0.5727
Gd 0.0000 0.5727 0.1625
Mg 0.5000 0.5773 0.8235
Mg 0.5000 0.8235 0.5773
In 0.5000 0.3416 0.3416
Cu 0.0000 0.5864 0.5864
Pt 0.5000 0.2400 0.9035
Pt 0.5000 0.9035 0.2400

Results
Symmetry   Amm2, No. 38
Energy   -4.72 eV/atom



# DyAuSO

A relaxed DyAuSO crystal (PBE-GGA, the Open Quantum Materials Database).

Cell lengths 3.9111, 3.9111, 8.9362 Å; angles 90.00, 90.00, 90.00 degrees
Sites, in units of the cell vectors:
Dy 0.2500 0.2500 0.1253
Dy 0.7500 0.7500 0.8747
Au 0.2500 0.7500 0.5000
Au 0.7500 0.2500 0.5000
S 0.2500 0.2500 0.7163
S 0.7500 0.7500 0.2837
O 0.2500 0.7500 0.0000
O 0.7500 0.2500 0.0000

Results
Energy relative to the lowest polymorph listed for this composition   0.67 eV per formula unit
Symmetry   P4/nmm, No. 129



# GdHfGe

A relaxed GdHfGe crystal (PBE-GGA, the Open Quantum Materials Database).

Cell lengths 4.8761, 4.8761, 4.8761 Å; angles 60.00, 60.00, 60.00 degrees
Sites, in units of the cell vectors:
Gd 0.0000 0.0000 0.0000
Hf 0.2500 0.2500 0.2500
Ge 0.7500 0.7500 0.7500

Results
Energy relative to the lowest polymorph listed for this composition   3.06 eV per formula unit
Symmetry   F-43m, No. 216



# ZrTcGe2

A relaxed ZrTcGe2 crystal (PBE-GGA, the Open Quantum Materials Database).

Cell lengths 4.6132, 4.6132, 4.6132 Å; angles 60.00, 60.00, 60.00 degrees
Sites, in units of the cell vectors:
Zr 0.0000 0.0000 0.0000
Tc 0.7500 0.7500 0.7500
Ge 0.2500 0.2500 0.2500
Ge 0.5000 0.5000 0.5000

Results
Symmetry   F-43m, No. 216
Energy   -7.09 eV/atom